Record 1
The following is a DFT calculation (GGA-PBE) of crystalline Th2Zn2Ni15 at its relaxed geometry.

Unit cell a=8.3700 b=8.3700 c=12.3616 alpha=90.00 beta=90.00 gamma=120.00
Space group R-3m (No. 166, hexagonal axes)
Inequivalent atoms, fractional coordinates:
Th: 0.0000 0.0000 0.1542 (multiplicity 6)
Zn: 0.0000 0.0000 0.4025 (multiplicity 6)
Ni: 0.0000 0.2979 0.5000 (multiplicity 18)
Ni: 0.0000 0.5000 0.0000 (multiplicity 9)
Ni: 0.0008 0.5004 0.3449 (multiplicity 18)

## Properties
- spin magnetization (μB per cell) = 6.3
- crystal system = trigonal
- formation energy (eV per atom) = -0.280
- theoretical density (kg/m³) = 9799

***

Record 2
The following is a DFT calculation (GGA-PBE) of crystalline LiHgPb2 at its relaxed geometry.

Unit cell a=8.274 b=8.274 c=6.445 alpha=90.00 beta=90.00 gamma=90.00
Space group I-42d (No. 122)
Inequivalent atoms, fractional coordinates:
Li: 0.000 0.000 0.000 (multiplicity 4)
Hg: 0.000 0.000 0.500 (multiplicity 4)
Pb: 0.245 0.750 0.125 (multiplicity 8)

## Properties
- spin magnetization (μB per cell) = 0.0
- crystal system = tetragonal
- formation energy (eV per atom) = 0.041
- theoretical density (kg/m³) = 9363

***

Record 3
The following is a DFT calculation (GGA-PBE) of crystalline AlVZn at its relaxed geometry.

Unit cell a=3.930 b=3.618 c=6.421 alpha=90.00 beta=107.80 gamma=90.00
Space group P2_1/m (No. 11)
Inequivalent atoms, fractional coordinates:
Al: 0.249 0.250 0.498 (multiplicity 2)
V: 0.078 0.750 0.155 (multiplicity 2)
Zn: 0.420 0.750 0.841 (multiplicity 2)

## Properties
- spin magnetization (μB per cell) = 0.0
- crystal system = monoclinic
- formation energy (eV per atom) = -0.048
- theoretical density (kg/m³) = 5477

***

Record 4
The following is a DFT calculation (GGA-PBE) of crystalline ZrTaAg at its relaxed geometry.

Unit cell a=4.7077 b=4.7077 c=6.0791 alpha=90.00 beta=90.00 gamma=120.00
Space group P-3m1 (No. 164)
Inequivalent atoms, fractional coordinates:
Zr: 0.0000 0.0000 0.2434 (multiplicity 2)
Ta: 0.3333 0.6667 0.9310 (multiplicity 2)
Ag: 0.3333 0.6667 0.4262 (multiplicity 2)

## Properties
- spin magnetization (μB per cell) = 0.0
- crystal system = trigonal
- formation energy (eV per atom) = 0.141
- theoretical density (kg/m³) = 10818

***

Question: Which formula does entry 4 have?
Answer: ZrTaAg

***

Question: Among the records above, which one has the lowest formation energy?
Answer: Th2Zn2Ni15

***

Question: Among the records above, which one has the highest theoretical density?
Answer: ZrTaAg

***

Question: What is the formula in the third record?
Answer: AlVZn